(1)
DFT (PBE) results for LuPdO3 after structural relaxation.

Unit cell a=3.9635 b=3.9635 c=3.9635 alpha=90.00 beta=90.00 gamma=90.00
Closest atoms and distances in Å follow each position.
Positions (direct):
Lu (0.0000, 0.0000, 0.0000)  12 O 2.80
O (0.5000, 0.5000, 0.0000)  2 Pd 1.98
O (0.5000, 0.0000, 0.5000)  2 Pd 1.98
O (0.0000, 0.5000, 0.5000)  2 Pd 1.98
Pd (0.5000, 0.5000, 0.5000)  6 O 1.98

Output
* space group: Pm-3m, No. 221
* energy relative to the elements, uncorrected: -1.332 eV/atom

(2)
DFT (PBE) results for TlCd2As after structural relaxation.

Unit cell a=6.9674 b=6.9674 c=6.9674 alpha=147.93 beta=144.76 gamma=48.38
Closest atoms and distances in Å follow each position.
Positions (direct):
Tl (0.4499, 0.4499, 0.0000)  6 Cd 3.19-3.29, 2 As 3.33
As (0.2364, 0.7364, 0.5000)  6 Cd 2.86-2.93
Cd (0.0621, 0.0621, 0.0000)  2 As 2.93, 4 Tl 3.19, 2 Cd 3.20
Cd (0.7516, 0.2516, 0.5000)  4 As 2.86, 2 Cd 3.20

Output
* space group: Imm2, No. 44
* energy of formation from the pure elements: 0.0740 eV/atom
* excess energy over the best structure of this formula in the dataset: 0.061 eV/atom

(3)
DFT (PBE) results for LiPmHo2 after structural relaxation.

Unit cell a=5.5097 b=5.5097 c=5.5097 alpha=60.00 beta=60.00 gamma=60.00
Closest atoms and distances in Å follow each position.
Positions (direct):
Li (0.5000, 0.5000, 0.5000)  8 Ho 3.37
Ho (0.2500, 0.2500, 0.2500)  4 Li 3.37, 4 Pm 3.37
Ho (0.7500, 0.7500, 0.7500)  4 Li 3.37, 4 Pm 3.37
Pm (0.0000, 0.0000, 0.0000)  8 Ho 3.37

Output
* space group: Fm-3m, No. 225
* energy of formation from the pure elements: 0.2088 eV/atom
* excess energy over the best structure of this formula in the dataset: 0.132 eV/atom

(4)
DFT (PBE) results for CaLaIn2 after structural relaxation.

Unit cell a=5.5231 b=5.5231 c=3.9617 alpha=90.00 beta=90.00 gamma=90.00
Closest atoms and distances in Å follow each position.
Positions (direct):
Ca (0.0000, 0.5000, 0.5000)  8 In 3.40
In (0.0000, 0.0000, 0.0000)  4 Ca 3.40, 4 La 3.40
In (0.5000, 0.5000, 0.0000)  4 La 3.40, 4 Ca 3.40
La (0.5000, 0.0000, 0.5000)  8 In 3.40

Output
* space group: P4/mmm, No. 123
* energy of formation from the pure elements: -0.4865 eV/atom

(5)
DFT (PBE) results for Hf4AlBi after structural relaxation.

Unit cell a=3.3285 b=5.5986 c=14.5845 alpha=89.69 beta=90.00 gamma=90.00
Closest atoms and distances in Å follow each position.
Positions (direct):
Hf (0.4999, 0.1586, 0.3304)  9 Hf 3.05-3.37, 2 Al 3.11, 1 Bi 3.13
Hf (0.9999, 0.3414, 0.1696)  9 Hf 3.05-3.37, 2 Al 3.11, 1 Bi 3.13
Hf (0.5001, 0.8414, 0.6696)  9 Hf 3.05-3.37, 2 Al 3.11, 1 Bi 3.13
Hf (0.0001, 0.6586, 0.8304)  9 Hf 3.05-3.37, 2 Al 3.11, 1 Bi 3.13
Hf (0.9999, 0.6814, 0.3319)  9 Hf 3.01-3.37, 1 Al 3.04, 2 Bi 3.13
Hf (0.4999, 0.8186, 0.1681)  9 Hf 3.01-3.37, 1 Al 3.04, 2 Bi 3.13
Hf (0.0001, 0.3186, 0.6681)  9 Hf 3.01-3.37, 1 Al 3.04, 2 Bi 3.13
Hf (0.5001, 0.1814, 0.8319)  9 Hf 3.01-3.37, 1 Al 3.04, 2 Bi 3.13
Al (0.0000, 0.0000, 0.5000)  6 Hf 3.04-3.11, 4 Bi 3.26, 2 Al 3.33
Al (0.5000, 0.5000, 0.0000)  6 Hf 3.04-3.11, 4 Bi 3.26, 2 Al 3.33
Bi (0.5000, 0.5000, 0.5000)  6 Hf 3.13, 4 Al 3.26, 2 Bi 3.33
Bi (0.0000, 0.0000, 0.0000)  6 Hf 3.13, 4 Al 3.26, 2 Bi 3.33

Output
* space group: C2/m, No. 12
* energy of formation from the pure elements: -0.0739 eV/atom

(6)
DFT (PBE) results for LiPd4Se4 after structural relaxation.

Unit cell a=5.9060 b=5.9060 c=6.8928 alpha=115.37 beta=115.37 gamma=90.00
Closest atoms and distances in Å follow each position.
Positions (direct):
Li (0.0000, 0.0000, 0.0000)  4 Se 2.45
Pd (0.5000, 0.0000, 0.0000)  4 Se 2.55
Pd (0.0000, 0.5000, 0.0000)  4 Se 2.55
Pd (0.2795, 0.2795, 0.5590)  4 Se 2.41-2.54
Pd (0.7205, 0.7205, 0.4410)  4 Se 2.41-2.54
Se (0.6319, 0.6319, 0.7348)  4 Pd 2.41-2.55, 1 Li 2.45
Se (0.3681, 0.8972, 0.2652)  4 Pd 2.41-2.55, 1 Li 2.45
Se (0.1028, 0.1028, 0.7348)  4 Pd 2.41-2.55, 1 Li 2.45
Se (0.8972, 0.3681, 0.2652)  4 Pd 2.41-2.55, 1 Li 2.45

Output
* space group: I-42m, No. 121
* energy relative to the elements, uncorrected: -0.258 eV/atom

(7)
DFT (PBE) results for Ba3CeBi6 after structural relaxation.

Unit cell a=9.2826 b=9.2826 c=9.2826 alpha=96.92 beta=96.92 gamma=96.92
Closest atoms and distances in Å follow each position.
Positions (direct):
Ba (0.1818, 0.7500, 0.3181)  8 Bi 3.62-3.92
Ba (0.3181, 0.1818, 0.7500)  8 Bi 3.62-3.92
Ba (0.2500, 0.6819, 0.8182)  8 Bi 3.62-3.92
Ba (0.7500, 0.3181, 0.1818)  8 Bi 3.62-3.92
Ba (0.6819, 0.8182, 0.2500)  8 Bi 3.62-3.92
Ba (0.8182, 0.2500, 0.6819)  8 Bi 3.62-3.92
Ce (0.0000, 0.0000, 0.0000)  6 Bi 3.35
Ce (0.5000, 0.5000, 0.5000)  6 Bi 3.35
Bi (0.9171, 0.6363, 0.9847)  2 Bi 3.14-3.19, 1 Ce 3.35
Bi (0.0153, 0.0829, 0.3637)  2 Bi 3.14-3.19, 1 Ce 3.35
Bi (0.1363, 0.4171, 0.4848)  2 Bi 3.14-3.19, 1 Ce 3.35
Bi (0.3637, 0.0153, 0.0829)  2 Bi 3.14-3.19, 1 Ce 3.35
Bi (0.4171, 0.4848, 0.1363)  2 Bi 3.14-3.19, 1 Ce 3.35
Bi (0.5152, 0.8637, 0.5829)  2 Bi 3.14-3.19, 1 Ce 3.35
Bi (0.4848, 0.1363, 0.4171)  2 Bi 3.14-3.19, 1 Ce 3.35
Bi (0.5829, 0.5152, 0.8637)  2 Bi 3.14-3.19, 1 Ce 3.35
Bi (0.6363, 0.9847, 0.9171)  2 Bi 3.14-3.19, 1 Ce 3.35
Bi (0.8637, 0.5829, 0.5152)  2 Bi 3.14-3.19, 1 Ce 3.35
Bi (0.9847, 0.9171, 0.6363)  2 Bi 3.14-3.19, 1 Ce 3.35
Bi (0.0829, 0.3637, 0.0153)  2 Bi 3.14-3.19, 1 Ce 3.35

Output
* space group: R-3c, No. 167
* energy of formation from the pure elements: -0.5509 eV/atom

(8)
DFT (PBE) results for Ba2NaTl6Pb after structural relaxation.

Unit cell a=8.2062 b=8.2062 c=8.2063 alpha=60.00 beta=60.00 gamma=90.00
Closest atoms and distances in Å follow each position.
Positions (direct):
Ba (0.2500, 0.7500, 0.5000)  12 Tl 4.10
Ba (0.7500, 0.2500, 0.5000)  12 Tl 4.10
Na (0.5000, 0.5000, 0.0000)  6 Tl 2.82
Tl (0.2566, 0.7434, 0.0000)  1 Na 2.82, 1 Pb 2.98
Tl (0.7434, 0.7434, 0.0000)  1 Na 2.82, 1 Pb 2.98
Tl (0.2566, 0.2566, 0.4868)  1 Na 2.82, 1 Pb 2.98
Tl (0.7434, 0.2566, 0.0000)  1 Na 2.82, 1 Pb 2.98
Tl (0.2566, 0.2566, 0.0000)  1 Na 2.82, 1 Pb 2.98
Tl (0.7434, 0.7434, 0.5132)  1 Na 2.82, 1 Pb 2.98
Pb (0.0000, 0.0000, 0.0000)  6 Tl 2.98

Output
* space group: Fm-3m, No. 225
* energy of formation from the pure elements: -0.0094 eV/atom